1.
Computed, not measured: an optimized crystal structure of ZrNp at the PBE level of DFT.

a = 5.1577 Å, b = 7.4343 Å, c = 4.5506 Å
α = 90.00°, β = 90.00°, γ = 90.00°
Closest atoms and distances in Å follow each position.
Fractional coordinates of all 8 atoms:
Zr  0.8957  0.2658  0.5000  4 Np 2.98-3.30, 6 Zr 3.10-3.32
Np  0.5559  0.6831  0.0000  6 Np 2.55-2.83
Np  0.7774  0.6831  0.5000  6 Np 2.55-2.83
Zr  0.4376  0.2658  0.0000  4 Np 2.98-3.30, 6 Zr 3.10-3.32
Np  0.0559  0.5669  0.0000  6 Np 2.55-2.83
Np  0.2774  0.5669  0.5000  6 Np 2.55-2.83
Zr  0.9376  0.9842  0.0000  4 Np 2.98-3.30, 6 Zr 3.10-3.32
Zr  0.3957  0.9842  0.5000  4 Np 2.98-3.30, 6 Zr 3.10-3.32

M_tot	0.40	μB per formula unit
relative energy among the computed polymorphs	100.9	meV/atom
symmetry	Pbcm
uncorrected energy	-20.916	eV/f.u.

2.
Computed, not measured: an optimized crystal structure of Zr3Np at the PBE level of DFT.

a = 6.4339 Å, b = 6.4339 Å, c = 5.2828 Å
α = 90.00°, β = 90.00°, γ = 120.00°
Closest atoms and distances in Å follow each position.
Fractional coordinates of all 8 atoms:
Np  0.0000  0.0000  0.0000  12 Zr 3.22-3.24
Zr  0.9956  0.4978  0.0000  8 Zr 3.17-3.26, 4 Np 3.22-3.24
Np  0.3334  0.6667  0.5000  12 Zr 3.22-3.24
Zr  0.8312  0.6623  0.5000  8 Zr 3.17-3.26, 4 Np 3.22-3.24
Zr  0.5022  0.0044  0.0000  8 Zr 3.17-3.26, 4 Np 3.22-3.24
Zr  0.5022  0.4978  0.0000  8 Zr 3.17-3.26, 4 Np 3.22-3.24
Zr  0.3377  0.1688  0.5000  8 Zr 3.17-3.26, 4 Np 3.22-3.24
Zr  0.8312  0.1688  0.5000  8 Zr 3.17-3.26, 4 Np 3.22-3.24

M_tot	4.82	μB per formula unit
relative energy among the computed polymorphs	25.3	meV/atom
symmetry	P6_3/mmc
uncorrected energy	-37.489	eV/f.u.

Copy entry 2 word for word.
Computed, not measured: an optimized crystal structure of Zr3Np at the PBE level of DFT.

a = 6.4339 Å, b = 6.4339 Å, c = 5.2828 Å
α = 90.00°, β = 90.00°, γ = 120.00°
Closest atoms and distances in Å follow each position.
Fractional coordinates of all 8 atoms:
Np  0.0000  0.0000  0.0000  12 Zr 3.22-3.24
Zr  0.9956  0.4978  0.0000  8 Zr 3.17-3.26, 4 Np 3.22-3.24
Np  0.3334  0.6667  0.5000  12 Zr 3.22-3.24
Zr  0.8312  0.6623  0.5000  8 Zr 3.17-3.26, 4 Np 3.22-3.24
Zr  0.5022  0.0044  0.0000  8 Zr 3.17-3.26, 4 Np 3.22-3.24
Zr  0.5022  0.4978  0.0000  8 Zr 3.17-3.26, 4 Np 3.22-3.24
Zr  0.3377  0.1688  0.5000  8 Zr 3.17-3.26, 4 Np 3.22-3.24
Zr  0.8312  0.1688  0.5000  8 Zr 3.17-3.26, 4 Np 3.22-3.24

M_tot	4.82	μB per formula unit
relative energy among the computed polymorphs	25.3	meV/atom
symmetry	P6_3/mmc
uncorrected energy	-37.489	eV/f.u.

- Look up the uncorrected energy of the first one.
  -20.916 eV/f.u.

- Which formula does entry 2 have?
  Zr3Np

- What is the formula in the first record?
  ZrNp